Record 1
An optimized crystal structure of Ho2BeCu3Ge4, computed with PBE.

The calculation puts the density of states at the Fermi level at 0.202 states/eV per atom. The formation energy is -0.436 eV/atom. As for the magnetization: 0.0 μB/f.u. Its space-group type is P-4m2.

Unit cell a=4.010 b=4.010 c=10.374 alpha=90.00 beta=90.00 gamma=90.00
Fractional coordinates of all 10 atoms:
Ho 0.000 0.500 0.242
Ho 0.500 0.000 0.758
Be 0.500 0.500 0.000
Cu 0.000 0.000 0.000
Cu 0.000 0.500 0.642
Cu 0.500 0.000 0.358
Ge 0.000 0.000 0.500
Ge 0.000 0.500 0.868
Ge 0.500 0.000 0.132
Ge 0.500 0.500 0.500

Record 2
An optimized crystal structure of Mg2BeCuGe, computed with PBE.

The calculation puts the density of states at the Fermi level at 0.484 states/eV per atom. The formation energy is 0.364 eV/atom. As for the magnetization: 0.0 μB/f.u. Its space-group type is P4/mmm.

Unit cell a=4.677 b=4.677 c=4.127 alpha=90.00 beta=90.00 gamma=90.00
Fractional coordinates of all 5 atoms:
Mg 0.000 0.500 0.000
Mg 0.500 0.000 0.000
Be 0.000 0.000 0.000
Cu 0.000 0.000 0.500
Ge 0.500 0.500 0.500

What is the magnetization in the second record? 0.0 μB/f.u.